# 1
The following is a PBE calculation of a geometry-optimized CaFeSb2 structure, from Alexandria.

Lattice parameters (Å, degrees): 4.707 4.707 4.199 90.00 90.00 90.00
Element x y z (fractional)
Ca: 0.000 0.000 0.000
Fe: 0.500 0.500 0.000
Sb: 0.000 0.500 0.500
Sb: 0.500 0.000 0.500

Calculated values
Its density of states at the Fermi level is 0.806 states/eV/atom. For the magnetization, the calculation gives 3.0 μB/cell. The uncorrected formation energy comes out at -0.0308 eV/atom.

# 2
The following is a PBE calculation of a geometry-optimized CaScFe2Sb structure, from Alexandria.

Lattice parameters (Å, degrees): 4.830 4.830 5.310 90.00 90.00 90.00
Element x y z (fractional)
Ca: 0.000 0.000 0.000
Sc: 0.500 0.500 0.000
Fe: 0.000 0.500 0.500
Fe: 0.500 0.000 0.500
Sb: 0.500 0.500 0.500

Calculated values
Its density of states at the Fermi level is 1.793 states/eV/atom. For the magnetization, the calculation gives 0.1 μB/cell. The uncorrected formation energy comes out at 0.8526 eV/atom.

# 3
The following is a PBE calculation of a geometry-optimized Ca2ScFeSb structure, from Alexandria.

Lattice parameters (Å, degrees): 5.937 5.937 4.118 90.00 90.00 90.00
Element x y z (fractional)
Ca: 0.000 0.500 0.000
Ca: 0.500 0.000 0.000
Sc: 0.000 0.000 0.000
Fe: 0.000 0.000 0.500
Sb: 0.500 0.500 0.500

Calculated values
Its density of states at the Fermi level is 0.801 states/eV/atom. For the magnetization, the calculation gives 0.0 μB/cell. The uncorrected formation energy comes out at 0.6201 eV/atom.

# 4
The following is a PBE calculation of a geometry-optimized Sr2CaFeSb structure, from Alexandria.

Lattice parameters (Å, degrees): 6.287 6.287 4.582 90.00 90.00 90.00
Element x y z (fractional)
Sr: 0.000 0.500 0.000
Sr: 0.500 0.000 0.000
Ca: 0.000 0.000 0.000
Fe: 0.000 0.000 0.500
Sb: 0.500 0.500 0.500

Calculated values
Its density of states at the Fermi level is 1.743 states/eV/atom. For the magnetization, the calculation gives 1.4 μB/cell. The uncorrected formation energy comes out at 0.7796 eV/atom.

# 5
The following is a PBE calculation of a geometry-optimized Ca2FeTcSb structure, from Alexandria.

Lattice parameters (Å, degrees): 5.811 5.811 4.973 90.00 90.00 90.00
Element x y z (fractional)
Ca: 0.000 0.500 0.000
Ca: 0.500 0.000 0.000
Fe: 0.000 0.000 0.500
Tc: 0.500 0.500 0.500
Sb: 0.500 0.500 0.000

Calculated values
Its density of states at the Fermi level is 1.339 states/eV/atom. For the magnetization, the calculation gives 5.3 μB/cell. The uncorrected formation energy comes out at 0.9809 eV/atom.

# 6
The following is a PBE calculation of a geometry-optimized CaFeSbTe2 structure, from Alexandria.

Lattice parameters (Å, degrees): 5.742 5.742 5.723 90.00 90.00 90.00
Element x y z (fractional)
Ca: 0.000 0.000 0.000
Fe: 0.500 0.500 0.500
Sb: 0.000 0.000 0.500
Te: 0.000 0.500 0.000
Te: 0.500 0.000 0.000

Calculated values
Its density of states at the Fermi level is 2.161 states/eV/atom. For the magnetization, the calculation gives 3.5 μB/cell. The uncorrected formation energy comes out at 0.8751 eV/atom.

# 7
The following is a PBE calculation of a geometry-optimized CaFeSbTe2 structure, from Alexandria.

Lattice parameters (Å, degrees): 5.434 5.434 4.823 90.00 90.00 90.00
Element x y z (fractional)
Ca: 0.000 0.000 0.000
Fe: 0.500 0.500 0.500
Sb: 0.500 0.500 0.000
Te: 0.000 0.500 0.500
Te: 0.500 0.000 0.500

Calculated values
Its density of states at the Fermi level is 1.166 states/eV/atom. For the magnetization, the calculation gives 2.1 μB/cell. The uncorrected formation energy comes out at -0.1631 eV/atom.

# 8
The following is a PBE calculation of a geometry-optimized Ca3ScFe structure, from Alexandria.

Lattice parameters (Å, degrees): 5.905 5.905 5.905 90.00 90.00 90.00
Element x y z (fractional)
Ca: 0.000 0.000 0.500
Ca: 0.000 0.500 0.000
Ca: 0.500 0.000 0.000
Sc: 0.000 0.000 0.000
Fe: 0.500 0.500 0.500

Calculated values
As for the total energy: -0.208 Ry per atom. Its density of states at the Fermi level is 2.389 states/eV/atom. For the magnetization, the calculation gives 0.1 μB/cell.